VASP calculation (PBE) on an optimized crystal structure of Zr2HOsRh.

Summary:
The relative energy among the computed polymorphs comes out at 0.0000 eV/atom. The density is 10.680 g/cm³. For the magnetization, the calculation gives 0.000 μB/atom.

Cell: 4.5733 4.5733 3.5429 Å, 90.00 90.00 90.00°
Positions (direct):
Zr: 0.5000 0.0000 0.0000
Zr: 0.0000 0.5000 0.0000
Rh: 0.0000 0.0000 0.5000
H: 0.0000 0.0000 0.0000
Os: 0.5000 0.5000 0.5000

VASP calculation (PBE) on an optimized crystal structure of Li2HgBiPb.

Summary:
The density is 8.596 g/cm³. The calculation puts the final energy at -25.88 eV per cell. For the magnetization, the calculation gives 0.000 μB/atom.

Cell: 4.6019 10.3370 6.5794 Å, 51.13 90.00 90.00°
Positions (direct):
Hg: 0.2500 0.6413 0.8362
Hg: 0.7500 0.3587 0.1638
Li: 0.2500 0.4272 0.3917
Li: 0.2500 0.2988 0.9755
Li: 0.7500 0.7012 0.0245
Li: 0.7500 0.5728 0.6083
Bi: 0.7500 0.2415 0.7496
Bi: 0.2500 0.7585 0.2504
Pb: 0.7500 0.9429 0.3691
Pb: 0.2500 0.0571 0.6309

VASP calculation (PBE) on an optimized crystal structure of BaGeCl6.

Summary:
The density is 3.118 g/cm³. Its uncorrected formation energy is -1.3755 eV/atom. For the magnetization, the calculation gives 0.000 μB/atom.

Cell: 6.2395 7.7936 6.3105 Å, 51.87 77.13 68.86°
Positions (direct):
Cl: 0.4468 0.2184 0.0000
Cl: 0.7821 0.5470 0.6717
Cl: 0.5532 0.7816 0.0000
Cl: 0.2179 0.4530 0.3283
Cl: 0.2179 0.7813 0.6717
Cl: 0.7821 0.2187 0.3283
Ge: 0.5000 0.5000 0.0000
Ba: 0.0000 0.0000 0.0000

VASP calculation (PBE) on an optimized crystal structure of CdSbAs2.

Summary:
The relative energy among the computed polymorphs comes out at 0.0411 eV/atom. The density is 6.656 g/cm³. Its uncorrected formation energy is 0.0865 eV/atom. For the magnetization, the calculation gives 0.000 μB/atom.

Cell: 6.4446 6.4447 6.9018 Å, 134.85 134.85 82.99°
Positions (direct):
Sb: 0.7328 0.2672 0.5000
As: 0.2634 0.7366 0.5000
As: 0.9878 0.0122 0.0000
Cd: 0.5160 0.4840 0.0000

VASP calculation (PBE) on an optimized crystal structure of BaHg2H8.

Summary:
The density is 5.133 g/cm³. The calculation puts the final energy at -29.82 eV per cell. For the magnetization, the calculation gives 0.000 μB/atom.

Cell: 6.5415 11.7509 7.0014 Å, 150.48 118.86 45.59°
Positions (direct):
H: 0.4883 0.4829 0.2727
H: 0.9608 0.5079 0.4471
H: 0.0392 0.4921 0.5529
H: 0.0846 0.9595 0.4724
H: 0.5079 0.9630 0.9018
H: 0.9154 0.0405 0.5276
H: 0.5117 0.5171 0.7273
H: 0.4921 0.0370 0.0982
Hg: 0.3225 0.3173 0.8125
Hg: 0.6775 0.6827 0.1875
Ba: 0.0000 0.0000 0.0000

VASP calculation (PBE) on an optimized crystal structure of CrCd2Re.

Summary:
The relative energy among the computed polymorphs comes out at 0.4176 eV/atom. The density is 11.493 g/cm³. For the magnetization, the calculation gives 0.257 μB/atom.

Cell: 2.7256 2.7256 9.5006 Å, 90.00 90.00 108.59°
Site moments in Bohr magnetons follow the coordinates.
Positions (direct):
Cr: 0.5000 0.5000 0.2500  1.01
Re: 0.5000 0.5000 0.7500  0.01
Cd: 0.0000 0.0000 0.4925  -0.01
Cd: 0.0000 0.0000 0.0075  -0.01